{"formula": "LiCa2", "functional": "PBE", "state": "optimized geometry", "cell": [[9.117, -0.034, 0.000], [-8.214, 3.955, 0.000], [0.000, 0.000, 5.911]], "species": ["Ca", "Li", "Ca", "Ca", "Ca", "Li"], "frac_coords": [[0.505, 0.495, 0.500], [0.852, 0.148, 0.500], [0.197, 0.803, 0.500], [0.359, 0.641, 0.000], [0.050, 0.950, 0.000], [0.703, 0.297, 0.000]], "formation_energy_mev_per_atom": 35, "de_polymorph_mev_per_atom": 25, "crystal_system": "orthorhombic", "magmom_total_mub_per_fu": 0.00, "mass_density_g_cm3": 1.4, "dft_energy_ev_per_atom": -1.94}